# RbCaY2

A relaxed structure of RbCaY2 (PBE, the Alexandria database).

Output
The formation energy from the elements comes out at 602 meV per atom.

abc: 8.6256 8.6256 8.6256
angles: 90.00 90.00 90.00
Space group Fm-3m (No. 225)
Inequivalent atoms, fractional coordinates:
Rb 0.0000 0.0000 0.0000 [4 per cell]
Ca 0.0000 0.0000 0.5000 [4 per cell]
Y 0.2500 0.2500 0.2500 [8 per cell]

---

# CeY2Th2

A relaxed structure of CeY2Th2 (PBE, the Alexandria database).

Output
The formation energy from the elements comes out at 63 meV per atom.

abc: 6.0982 7.1332 7.9394
angles: 76.97 75.19 73.27
Space group P-1 (No. 2)
Inequivalent atoms, fractional coordinates:
Ce 0.2067 0.0449 0.0941 [2 per cell]
Y 0.0015 0.2459 0.5007 [2 per cell]
Y 0.2028 0.5490 0.0993 [2 per cell]
Th 0.3992 0.8523 0.6998 [2 per cell]
Th 0.4065 0.3446 0.6999 [2 per cell]

---

# Ac12Zn3Ir5

A relaxed structure of Ac12Zn3Ir5 (PBE, the Alexandria database).

Output
The formation energy from the elements comes out at -233 meV per atom.

abc: 18.2973 18.2973 18.2973
angles: 90.00 90.00 90.00
Space group Ia-3d (No. 230)
Inequivalent atoms, fractional coordinates:
Ac 0.0265 0.0590 0.6500 [96 per cell]
Zn 0.0000 0.2500 0.1250 [24 per cell]
Ir 0.0000 0.0000 0.0000 [16 per cell]
Ir 0.0000 0.2500 0.3750 [24 per cell]

---

Number 1: calculated density 3.1 Mg/m³. Number 2: calculated density 8.2 Mg/m³. Number 3: calculated density 8.4 Mg/m³.